[1]
SrZr2Ru: optimized geometry, PBE.

```
SrZr2Ru
1.0
-1.824 2.676 -3.871
2.286 -0.185 -4.496
-2.228 -2.355 -3.869
Ru Sr Zr
1 1 2
Cartesian
-0.883 0.068 -6.118
-1.324 0.102 -9.177
0.000 0.000 0.000
-0.441 0.034 -3.059
```

Computed properties:
- Excess energy over the best structure of this formula in the dataset: 0.4745 eV per atom
- Space-group type: F-43m
- ΔE_f: 0.53 eV per atom

[2]
In2PbF2: optimized geometry, PBE.

```
In2PbF2
1.0
-1.254 3.394 -1.328
-3.575 -0.872 1.146
-1.110 4.215 6.226
Pb F In
1 2 2
Cartesian
0.000 0.000 0.000
-2.389 4.435 2.404
-3.550 2.302 3.641
-2.041 2.106 1.717
-3.898 4.630 4.327
```

Computed properties:
- Excess energy over the best structure of this formula in the dataset: 0.0000 eV per atom
- Space-group type: I4/mmm

[3]
Ba2AlZn: optimized geometry, PBE.

```
Ba2AlZn
1.0
4.105 0.014 0.000
-0.013 4.106 0.000
0.000 0.000 8.386
Zn Ba Al
1 2 1
Cartesian
2.046 2.060 2.096
0.000 0.000 0.004
0.000 0.000 4.189
2.046 2.060 6.289
```

Computed properties:
- Space-group type: P4/mmm
- ΔE_f: -0.10 eV per atom

[4]
ZrInRh2: optimized geometry, PBE.

```
ZrInRh2
1.0
3.279 0.000 0.000
0.000 3.450 0.000
0.000 0.000 6.191
Rh Zr In
2 1 1
Cartesian
0.000 0.000 0.027
0.000 0.000 3.069
1.639 1.725 1.548
1.639 1.725 4.643
```

Computed properties:
- Space-group type: Pmmm
- ΔE_f: -0.69 eV per atom

DFT total energy: -6.48 -3.84 -2.32 -7.18 (eV per atom)